Here is a relaxed structure of TbSmCd from the Alexandria database. Energies are from PBE.

Values from the calculation:
magnetic moment = 0.023 μB/atom
formation energy from the elements = -2.692 kcal/mol of atoms
ΔE to the lowest computed polymorph = 80 meV/atom
uncorrected energy = -3.54 eV per atom
crystal system = orthorhombic

Geometry as CIF:
```
data_TbSmCd
_space_group_name_H-M_alt 'P 1'
_space_group_IT_number 1
_cell_length_a 3.546
_cell_length_b 3.511
_cell_length_c 14.310
_cell_angle_alpha 97.05
_cell_angle_beta 89.98
_cell_angle_gamma 90.00
loop_
_space_group_symop_operation_xyz
'x,y,z'
loop_
_atom_site_label
_atom_site_type_symbol
_atom_site_fract_x
_atom_site_fract_y
_atom_site_fract_z
_atom_site_occupancy
Sm1 Sm 0.560 0.719 0.439 1
Sm2 Sm 0.560 0.567 0.134 1
Tb1 Tb 0.060 0.828 0.655 1
Tb2 Tb 0.559 0.415 0.830 1
Cd1 Cd 0.060 0.144 0.287 1
Cd2 Cd 0.059 0.989 0.979 1
```

Here is a relaxed structure of Cs3K8Ba from the Alexandria database. Energies are from PBE.

Values from the calculation:
magnetic moment = 0.000 μB/atom
formation energy from the elements = 0.887 kcal/mol of atoms
uncorrected energy = -1.07 eV per atom
crystal system = trigonal

Geometry as CIF:
```
data_Cs3K8Ba
_space_group_name_H-M_alt 'P 1'
_space_group_IT_number 1
_cell_length_a 8.798
_cell_length_b 8.798
_cell_length_c 14.538
_cell_angle_alpha 90.00
_cell_angle_beta 90.00
_cell_angle_gamma 120.00
loop_
_space_group_symop_operation_xyz
'x,y,z'
loop_
_atom_site_label
_atom_site_type_symbol
_atom_site_fract_x
_atom_site_fract_y
_atom_site_fract_z
_atom_site_occupancy
Cs1 Cs 0.000 0.000 0.927 1
Cs2 Cs 0.667 0.333 0.444 1
Cs3 Cs 0.667 0.333 0.064 1
K1 K 0.333 0.667 0.001 1
K2 K 0.503 0.497 0.741 1
K3 K 0.994 0.497 0.741 1
K4 K 0.162 0.324 0.259 1
K5 K 0.503 0.006 0.741 1
K6 K 0.162 0.838 0.259 1
K7 K 0.675 0.838 0.259 1
K8 K 0.333 0.667 0.502 1
Ba1 Ba 0.000 0.000 0.562 1
```

Here is a relaxed structure of KAc2PdO6 from the Alexandria database. Energies are from PBE.

Values from the calculation:
uncorrected formation energy = -1985 meV/atom
magnetic moment = 0.101 μB/atom
uncorrected energy = -6.41 eV per atom
crystal system = monoclinic

Geometry as CIF:
```
data_KAc2PdO6
_space_group_name_H-M_alt 'P 1'
_space_group_IT_number 1
_cell_length_a 5.834
_cell_length_b 6.431
_cell_length_c 8.519
_cell_angle_alpha 90.00
_cell_angle_beta 88.55
_cell_angle_gamma 90.00
loop_
_space_group_symop_operation_xyz
'x,y,z'
loop_
_atom_site_label
_atom_site_type_symbol
_atom_site_fract_x
_atom_site_fract_y
_atom_site_fract_z
_atom_site_occupancy
O1 O 0.292 0.657 0.040 1
O2 O 0.873 0.581 0.215 1
O3 O 0.648 0.261 0.590 1
O4 O 0.208 0.157 0.460 1
O5 O 0.852 0.761 0.910 1
O6 O 0.792 0.843 0.540 1
O7 O 0.148 0.239 0.090 1
O8 O 0.627 0.081 0.285 1
O9 O 0.373 0.919 0.715 1
O10 O 0.352 0.739 0.410 1
O11 O 0.127 0.419 0.785 1
O12 O 0.708 0.343 0.960 1
Ac1 Ac 0.482 0.438 0.238 1
Ac2 Ac 0.982 0.062 0.738 1
Ac3 Ac 0.018 0.938 0.262 1
Ac4 Ac 0.518 0.562 0.762 1
K1 K 0.500 0.000 0.000 1
K2 K 0.000 0.500 0.500 1
Pd1 Pd 0.500 0.000 0.500 1
Pd2 Pd 0.000 0.500 0.000 1
```

Here is a relaxed structure of YTm2Pb from the Alexandria database. Energies are from PBE.

Values from the calculation:
magnetic moment = 0.000 μB/atom
formation energy from the elements = -4.670 kcal/mol of atoms
ΔE to the lowest computed polymorph = 107 meV/atom
uncorrected energy = -4.98 eV per atom
crystal system = tetragonal

Geometry as CIF:
```
data_YTm2Pb
_space_group_name_H-M_alt 'P 1'
_space_group_IT_number 1
_cell_length_a 3.622
_cell_length_b 3.622
_cell_length_c 9.077
_cell_angle_alpha 90.00
_cell_angle_beta 90.00
_cell_angle_gamma 90.00
loop_
_space_group_symop_operation_xyz
'x,y,z'
loop_
_atom_site_label
_atom_site_type_symbol
_atom_site_fract_x
_atom_site_fract_y
_atom_site_fract_z
_atom_site_occupancy
Pb1 Pb 0.500 0.500 0.000 1
Tm1 Tm 0.000 0.000 0.765 1
Tm2 Tm 0.000 0.000 0.235 1
Y1 Y 0.500 0.500 0.500 1
```